1.
Density functional theory data (GGA+U) for crystalline KLaCoF6 at its relaxed geometry.

abc: 5.999 5.999 10.592
angles: 90.00 90.00 120.00
Last column: magnetic moment on the atom in μB.
Fractional coordinates of all 18 atoms:
K1 0.000 0.000 0.500  0.00
F1 0.384 0.033 0.145  0.03
F2 0.649 0.033 0.355  0.03
F3 0.033 0.649 0.855  0.03
F4 0.967 0.616 0.355  0.03
F5 0.033 0.384 0.645  0.03
Co1 0.333 0.667 0.750  2.78
F6 0.351 0.384 0.855  0.03
F7 0.616 0.649 0.645  0.03
K2 0.000 0.000 0.000  0.00
F8 0.649 0.616 0.145  0.03
La1 0.333 0.667 0.250  0.00
F9 0.616 0.967 0.855  0.03
F10 0.967 0.351 0.145  0.03
La2 0.667 0.333 0.750  0.00
F11 0.384 0.351 0.355  0.03
Co2 0.667 0.333 0.250  2.78
F12 0.351 0.967 0.645  0.03

Output
D(E_F) ... 0.0 states/eV/cell
Crystal system ... trigonal
M_tot ... 6.0 Bohr magnetons per cell

***

2.
Density functional theory data (GGA+U) for crystalline K2LaCo3F12 at its relaxed geometry.

abc: 7.048 7.048 7.048
angles: 65.01 65.01 65.01
Last column: magnetic moment on the atom in μB.
Fractional coordinates of all 18 atoms:
Co1 0.000 0.000 0.500  2.98
F1 0.268 0.268 0.894  0.09
F2 0.106 0.732 0.732  0.09
F3 0.869 0.869 0.405  0.06
F4 0.732 0.732 0.106  0.09
La1 0.000 0.000 0.000  0.00
Co2 0.000 0.500 0.000  2.98
F5 0.405 0.869 0.869  0.06
F6 0.131 0.595 0.131  0.06
F7 0.268 0.894 0.268  0.09
K1 0.616 0.616 0.616  0.00
F8 0.732 0.106 0.732  0.09
F9 0.869 0.405 0.869  0.06
F10 0.131 0.131 0.595  0.06
Co3 0.500 0.000 0.000  2.98
F11 0.595 0.131 0.131  0.06
K2 0.384 0.384 0.384  0.00
F12 0.894 0.268 0.268  0.09

Output
D(E_F) ... 7.3 states/eV/cell
Crystal system ... trigonal
M_tot ... 10.0 Bohr magnetons per cell

***

3.
Density functional theory data (GGA+U) for crystalline K2LaCoF6 at its relaxed geometry.

abc: 6.110 6.769 8.909
angles: 90.00 90.00 90.00
Last column: magnetic moment on the atom in μB.
Fractional coordinates of all 20 atoms:
K1 0.500 0.822 0.216  0.00
K2 0.000 0.178 0.716  0.00
Co1 0.500 0.207 0.500  1.97
K3 0.000 0.178 0.284  0.00
F1 0.259 0.954 0.500  0.01
La1 0.500 0.304 0.000  0.00
F2 0.500 0.221 0.748  0.01
F3 0.762 0.433 0.500  0.01
K4 0.500 0.822 0.784  0.00
F4 0.262 0.567 0.000  0.01
F5 0.741 0.954 0.500  0.01
Co2 0.000 0.793 0.000  1.97
F6 0.738 0.567 0.000  0.01
La2 0.000 0.696 0.500  0.00
F7 0.759 0.046 0.000  0.01
F8 0.000 0.779 0.752  0.01
F9 0.500 0.221 0.252  0.01
F10 0.238 0.433 0.500  0.01
F11 0.241 0.046 0.000  0.01
F12 0.000 0.779 0.248  0.01

Output
D(E_F) ... 8.1 states/eV/cell
Crystal system ... orthorhombic
M_tot ... 4.0 Bohr magnetons per cell

***

4.
Density functional theory data (GGA+U) for crystalline K2LaCoF8 at its relaxed geometry.

abc: 4.361 6.097 7.420
angles: 87.73 91.18 95.72
Last column: magnetic moment on the atom in μB.
Fractional coordinates of all 12 atoms:
F1 0.907 0.178 0.793  -0.03
K1 0.483 0.496 0.230  0.00
F2 0.528 0.779 0.488  0.00
K2 0.517 0.504 0.770  0.00
F3 0.644 0.824 0.995  0.00
F4 0.093 0.822 0.207  -0.03
Co1 0.000 0.000 0.000  1.93
F5 0.923 0.216 0.233  0.04
F6 0.077 0.784 0.767  0.04
F7 0.472 0.221 0.512  0.00
F8 0.356 0.176 0.005  0.00
La1 0.000 0.000 0.500  0.00

Output
Crystal system ... triclinic
M_tot ... 2.0 Bohr magnetons per cell

***

| no. | final energy (eV/atom) |
| --- | --- |
| 1 | -5.625 |
| 2 | -5.185 |
| 3 | -5.221 |
| 4 | -5.169 |